A geometry-optimized Y5BiPt2 structure. Source: Alexandria, functional GGA-PBE. Values from VASP.

Calculated values
**Crystal system**: tetragonal
**Energy relative to the elements**: -0.931 eV per atom
**M_tot**: 0.000 μB/f.u.
**Space-group type**: I4/mcm
**Theoretical density**: 8.17 g cm⁻³
**Total energy**: -6.97 eV per atom

The structure in Quantum ESPRESSO input format:
```
&SYSTEM
  ibrav = 0, nat = 16, ntyp = 3
/
ATOMIC_SPECIES
Y 88.91 Y.upf
Bi 208.98 Bi.upf
Pt 195.08 Pt.upf
ATOMIC_POSITIONS angstrom
Y 0.000 0.000 0.000
Y 5.135 1.222 -1.898
Y 1.222 2.690 -1.898
Y 5.135 1.222 1.898
Y 1.222 2.690 1.898
Y 0.000 0.000 6.925
Y 2.690 1.222 5.027
Y -1.222 2.690 5.027
Y 2.690 1.222 8.823
Y -1.222 2.690 8.823
Bi 0.000 0.000 3.462
Bi 0.000 0.000 10.387
Pt 2.828 1.085 0.000
Pt 2.828 -1.085 6.925
Pt 1.085 4.997 0.000
Pt 1.085 2.828 6.925
CELL_PARAMETERS angstrom
-3.912 3.912 6.925
3.912 -3.912 6.925
3.912 3.912 -6.925
```